Pu3NpTl3S8 | the Alexandria database | GGA-PBE | relaxed; raw total energy = -7.616 eV/atom; crystal system = trigonal; formation energy from raw total energies = -18.192 eV/f.u.; volume = 429.1 Å³ per cell; space-group type = R-3m, No. 166; mass density = 7.1 Mg/m³
1.0
-6.709 0.620 -4.569
-0.292 -3.872 7.155
0.703 8.803 0.160
Pu Np Tl S
3 1 3 8
direct
0.500 0.000 0.500 Pu
0.500 0.500 0.500 Pu
0.000 0.500 0.500 Pu
0.000 0.000 0.500 Np
0.000 0.000 0.000 Tl
0.000 0.500 0.000 Tl
0.500 0.500 0.000 Tl
0.269 0.539 0.308 S
0.731 0.461 0.692 S
0.772 0.544 0.308 S
0.228 0.456 0.692 S
0.772 0.035 0.308 S
0.228 0.965 0.692 S
0.263 0.035 0.308 S
0.737 0.965 0.692 S

***

TmPuNp2S4 | the Alexandria database | GGA-PBE | relaxed; raw total energy = -9.258 eV/atom; crystal system = monoclinic; formation energy from raw total energies = -12.872 eV/f.u.; volume = 167.3 Å³ per cell; space-group type = P2/m, No. 10; mass density = 10.1 Mg/m³
1.0
3.881 0.000 0.000
0.000 6.734 0.119
0.000 -2.352 6.361
Tm Pu Np S
1 1 2 4
direct
0.000 0.000 0.000 Tm
0.500 0.500 0.000 Pu
0.500 0.000 0.500 Np
0.000 0.500 0.500 Np
0.500 0.245 0.247 S
0.500 0.755 0.753 S
0.000 0.246 0.751 S
0.000 0.754 0.249 S

***

PuNpU2S4 | the Alexandria database | GGA-PBE | relaxed; raw total energy = -9.763 eV/atom; crystal system = monoclinic; formation energy from raw total energies = -11.747 eV/f.u.; volume = 165.7 Å³ per cell; space-group type = P2/m, No. 10; mass density = 10.9 Mg/m³
1.0
-2.086 3.107 0.611
-5.314 -3.104 -2.358
0.316 -1.140 6.882
Pu Np U S
1 1 2 4
direct
0.500 0.500 0.000 Pu
0.000 0.000 0.000 Np
0.500 0.000 0.500 U
0.000 0.500 0.500 U
0.500 0.250 0.249 S
0.500 0.750 0.751 S
0.000 0.250 0.751 S
0.000 0.750 0.249 S

***

PuNp4U3S8 | the Alexandria database | GGA-PBE | relaxed; raw total energy = -9.728 eV/atom; crystal system = trigonal; formation energy from raw total energies = -22.677 eV/f.u.; volume = 331.5 Å³ per cell; space-group type = R-3m, No. 166; mass density = 10.8 Mg/m³
1.0
7.764 0.000 0.000
0.000 7.773 0.000
-3.882 -3.877 5.493
Pu Np U S
1 4 3 8
direct
0.000 0.500 0.000 Pu
0.500 0.000 0.000 Np
0.500 0.000 0.500 Np
0.000 0.000 0.000 Np
0.000 0.000 0.500 Np
0.500 0.500 0.000 U
0.500 0.500 0.500 U
0.000 0.500 0.500 U
0.252 0.753 0.001 S
0.252 0.753 0.504 S
0.249 0.247 0.498 S
0.749 0.753 0.001 S
0.251 0.247 0.999 S
0.751 0.753 0.502 S
0.748 0.247 0.496 S
0.748 0.247 0.999 S

***

PuZrNp2S4 | the Alexandria database | GGA-PBE | relaxed; raw total energy = -9.652 eV/atom; crystal system = monoclinic; formation energy from raw total energies = -11.941 eV/f.u.; volume = 161.2 Å³ per cell; space-group type = P2/m, No. 10; mass density = 9.7 Mg/m³
1.0
3.841 0.000 0.000
0.000 6.755 0.169
0.000 -2.317 6.154
Pu Zr Np S
1 1 2 4
direct
0.000 0.000 0.000 Pu
0.500 0.500 0.000 Zr
0.500 0.000 0.500 Np
0.000 0.500 0.500 Np
0.500 0.255 0.246 S
0.500 0.745 0.754 S
0.000 0.258 0.758 S
0.000 0.742 0.242 S

***

Pu3NpSb4 | the Alexandria database | GGA-PBE | relaxed; raw total energy = -9.545 eV/atom; crystal system = tetragonal; formation energy from raw total energies = -3.934 eV/f.u.; volume = 243.8 Å³ per cell; space-group type = I4/mmm, No. 139; mass density = 9.9 Mg/m³
1.0
1.495 4.166 -4.408
0.921 -4.643 -4.077
-7.203 0.565 2.518
Np Sb Pu
1 4 3
direct
0.000 0.000 0.000 Np
0.000 0.500 0.000 Sb
0.500 0.000 0.000 Sb
0.249 0.249 0.497 Sb
0.752 0.751 0.503 Sb
0.500 0.500 0.000 Pu
0.750 0.250 0.500 Pu
0.250 0.750 0.500 Pu